Entry 1:
A geometry-optimized LiZn2Au structure, computed with PBEsol.

Cell lengths 3.886, 3.886, 4.650 Å; angles 114.70, 114.70, 90.00 degrees
Sites, in units of the cell vectors:
Zn 0.750 0.250 0.500
Li 0.000 0.000 0.000
Au 0.500 0.500 0.000
Zn 0.250 0.750 0.500

Summary:
The distance to the lowest polymorph of the same formula is 6.4 meV per atom. As for the total energy: -10.53 eV/cell.

***

Entry 2:
A geometry-optimized ScIn2Ru structure, computed with PBEsol.

Cell lengths 3.266, 3.266, 7.247 Å; angles 90.00, 90.00, 90.00 degrees
Sites, in units of the cell vectors:
In 0.000 0.000 0.990
In 0.500 0.500 0.295
Ru 0.000 0.000 0.508
Sc 0.500 0.500 0.707

Summary:
As for the total energy: -23.70 eV/cell.